1.
Material: KSe3
Method: DFT, PBE-GGA
State: optimized geometry

Cell lengths 6.3134, 6.3134, 5.0182 Å; angles 98.21, 98.21, 41.85 degrees
With the nearest neighbours (Å) after each atom.
Element x y z (fractional)
K1 0.0000 0.0000 0.0000  6 Se 3.37-3.54
Se1 0.5000 0.5000 0.5000  2 Se 2.63
Se2 0.7256 0.7256 0.5971  3 Se 2.56-2.63
Se3 0.2744 0.2744 0.4029  3 Se 2.56-2.63

Computed properties:
- energy above the most stable polymorph in this dataset (meV per atom) = 14.7
- space-group type = C2/m, No. 12


2.
Material: AlSnTe2W
Method: DFT, PBE-GGA
State: optimized geometry

Cell lengths 5.3306, 4.9972, 5.3306 Å; angles 90.00, 90.00, 90.00 degrees
With the nearest neighbours (Å) after each atom.
Element x y z (fractional)
Te1 0.0000 0.0000 0.5000  2 W 2.67
Te2 0.5000 0.0000 0.0000  2 W 2.67
Sn1 0.5000 0.5000 0.5000  8 Te 3.65, 4 Al 3.77
W1 0.0000 0.0000 0.0000  2 Al 2.50, 4 Te 2.67
Al1 0.0000 0.5000 0.0000  2 W 2.50

Computed properties:
- VASP energy (eV per atom) = -4.7742
- space-group type = P4/mmm, No. 123


3.
Material: NdGeRu2C
Method: DFT, PBE-GGA
State: optimized geometry

Cell lengths 4.0051, 5.9360, 7.3560 Å; angles 90.00, 90.00, 109.72 degrees
With the nearest neighbours (Å) after each atom.
Element x y z (fractional)
Nd1 0.4508 0.9017 0.7500  4 C 2.77
Nd2 0.5492 0.0983 0.2500  4 C 2.77
Ge1 0.7304 0.4608 0.7500  6 Ru 2.56
Ge2 0.2696 0.5392 0.2500  6 Ru 2.56
Ru1 0.1628 0.3255 0.9416  1 C 1.87
Ru2 0.8372 0.6745 0.0584  1 C 1.87
Ru3 0.1628 0.3255 0.5584  1 C 1.87
Ru4 0.8372 0.6745 0.4416  1 C 1.87
C1 0.0000 0.0000 0.0000  2 Ru 1.87
C2 0.0000 0.0000 0.5000  2 Ru 1.87

Computed properties:
- calculated formation energy (eV/f.u.) = -2.31
- space-group type = Cmcm, No. 63


4.
Material: ZnAgHg2
Method: DFT, PBE-GGA
State: optimized geometry

Cell lengths 3.6842, 3.6860, 5.9940 Å; angles 90.00, 90.00, 90.00 degrees
With the nearest neighbours (Å) after each atom.
Element x y z (fractional)
Ag1 0.5000 0.5000 0.7401  6 Hg 2.83-3.17, 4 Zn 2.96
Hg1 0.0000 0.0000 0.9848  2 Zn 2.87-3.13, 4 Ag 2.99, 4 Hg 3.11
Hg2 0.5000 0.5000 0.2682  2 Ag 2.83-3.17, 4 Zn 2.97, 4 Hg 3.11
Zn1 0.0000 0.0000 0.5068  6 Hg 2.87-3.13, 4 Ag 2.96

Computed properties:
- calculated formation energy (eV/f.u.) = 0.42
- space-group type = P4mm, No. 99


5.
Material: Sm15Ho4Mg
Method: DFT, PBE-GGA
State: optimized geometry

Cell lengths 5.0707, 5.0707, 25.4262 Å; angles 90.00, 90.00, 90.00 degrees
With the nearest neighbours (Å) after each atom.
Element x y z (fractional)
Sm1 0.5000 0.5000 0.0000  8 Sm 3.56, 4 Mg 3.59
Sm2 0.5000 0.5000 0.1969  8 Sm 3.57-3.62, 4 Ho 3.59
Sm3 0.5000 0.5000 0.3991  4 Ho 3.59, 8 Sm 3.60-3.61
Sm4 0.5000 0.5000 0.6009  4 Ho 3.59, 8 Sm 3.60-3.61
Sm5 0.5000 0.5000 0.8031  8 Sm 3.57-3.62, 4 Ho 3.59
Sm6 0.5000 0.0000 0.0982  8 Sm 3.56-3.59, 2 Mg 3.56, 2 Ho 3.58
Sm7 0.5000 0.0000 0.2988  8 Sm 3.59-3.62, 4 Ho 3.60-3.61
Sm8 0.5000 0.0000 0.5000  8 Sm 3.59-3.61, 4 Ho 3.60
Sm9 0.5000 0.0000 0.7012  8 Sm 3.59-3.62, 4 Ho 3.60-3.61
Sm10 0.5000 0.0000 0.9018  8 Sm 3.56-3.59, 2 Mg 3.56, 2 Ho 3.58
Sm11 0.0000 0.5000 0.0982  8 Sm 3.56-3.59, 2 Mg 3.56, 2 Ho 3.58
Sm12 0.0000 0.5000 0.2988  8 Sm 3.59-3.62, 4 Ho 3.60-3.61
Sm13 0.0000 0.5000 0.5000  8 Sm 3.59-3.61, 4 Ho 3.60
Sm14 0.0000 0.5000 0.7012  8 Sm 3.59-3.62, 4 Ho 3.60-3.61
Sm15 0.0000 0.5000 0.9018  8 Sm 3.56-3.59, 2 Mg 3.56, 2 Ho 3.58
Ho1 0.0000 0.0000 0.1978  12 Sm 3.58-3.61
Ho2 0.0000 0.0000 0.3994  12 Sm 3.59-3.60
Ho3 0.0000 0.0000 0.6006  12 Sm 3.59-3.60
Ho4 0.0000 0.0000 0.8022  12 Sm 3.58-3.61
Mg1 0.0000 0.0000 0.0000  12 Sm 3.56-3.59

Computed properties:
- calculated formation energy (eV/f.u.) = 0.26
- space-group type = P4/mmm, No. 123


6.
Material: Ta3TcRh
Method: DFT, PBE-GGA
State: optimized geometry

Cell lengths 4.7283, 4.7283, 4.7283 Å; angles 90.00, 90.00, 90.00 degrees
With the nearest neighbours (Å) after each atom.
Element x y z (fractional)
Rh1 0.0000 0.0000 0.0000  6 Ta 2.36
Tc1 0.5000 0.5000 0.5000  12 Ta 3.34
Ta1 0.0000 0.5000 0.0000  2 Rh 2.36
Ta2 0.0000 0.0000 0.5000  2 Rh 2.36
Ta3 0.5000 0.0000 0.0000  2 Rh 2.36

Computed properties:
- energy above the most stable polymorph in this dataset (meV per atom) = 138.6
- calculated formation energy (eV/f.u.) = 6.98
- space-group type = Pm-3m, No. 221


7.
Material: LiPr2UN4
Method: DFT, PBE-GGA
State: optimized geometry

Cell lengths 3.6315, 5.8967, 6.0441 Å; angles 107.21, 90.00, 90.00 degrees
With the nearest neighbours (Å) after each atom.
Element x y z (fractional)
Li1 0.0000 0.0000 0.0000  6 N 2.36-2.61
Pr1 0.5000 0.0000 0.5000  6 N 2.66-2.74
Pr2 0.0000 0.5000 0.5000  6 N 2.46-2.51
U1 0.5000 0.5000 0.0000  2 N 2.07
N1 0.5000 0.2977 0.2267  1 U 2.07
N2 0.5000 0.7023 0.7733  1 U 2.07
N3 0.0000 0.2686 0.7789  1 Li 2.36, 2 U 2.42, 1 Pr 2.46
N4 0.0000 0.7314 0.2211  1 Li 2.36, 2 U 2.42, 1 Pr 2.46

Computed properties:
- VASP energy (eV per atom) = -8.1046
- space-group type = P2/m, No. 10


8.
Material: Ta3ZnCl
Method: DFT, PBE-GGA
State: optimized geometry

Cell lengths 4.5232, 4.5232, 4.5232 Å; angles 90.00, 90.00, 90.00 degrees
With the nearest neighbours (Å) after each atom.
Element x y z (fractional)
Zn1 0.5000 0.5000 0.5000  12 Ta 3.20
Cl1 0.0000 0.0000 0.0000  6 Ta 2.26
Ta1 0.0000 0.5000 0.0000  2 Cl 2.26
Ta2 0.0000 0.0000 0.5000  2 Cl 2.26
Ta3 0.5000 0.0000 0.0000  2 Cl 2.26

Computed properties:
- energy above the most stable polymorph in this dataset (meV per atom) = 0.0
- space-group type = Pm-3m, No. 221


Computed total magnetic moment, in the same sequence as the records: 0.0, 0.8, 0.0, 0.0, 0.0, 0.3, 0.0, 0.0 μB/f.u..
Computed density of states at the Fermi level, in the same sequence as the records: 1.85, 6.22, 8.19, 1.44, 27.52, 7.13, 3.46, 5.98 states/eV per cell.